! Mg6CuAg (PBE, optimized geometry); values from VASP
&SYSTEM
  ibrav = 0, nat = 16, ntyp = 3
/
ATOMIC_SPECIES
Mg 24.30 Mg.upf
Cu 63.55 Cu.upf
Ag 107.87 Ag.upf
ATOMIC_POSITIONS crystal
Mg 0.2375 0.2021 0.2452
Mg 0.2375 0.7979 0.2452
Mg 0.2427 0.0000 0.7577
Mg 0.2573 0.5000 0.2423
Mg 0.2625 0.2979 0.7548
Mg 0.2625 0.7021 0.7548
Mg 0.7375 0.2979 0.2452
Mg 0.7375 0.7021 0.2452
Mg 0.7427 0.5000 0.7577
Mg 0.7573 0.0000 0.2423
Mg 0.7625 0.2021 0.7548
Mg 0.7625 0.7979 0.7548
Cu 0.0000 0.0000 0.0000
Cu 0.5000 0.5000 0.0000
Ag 0.0000 0.5000 0.5000
Ag 0.5000 0.0000 0.5000
CELL_PARAMETERS angstrom
6.1436 0.0000 0.0000
0.0000 10.5999 0.0000
-2.6902 0.0000 5.4301
! * calculated volume: 353.6 Å³ per cell
! * DOS at the Fermi energy: 0.313 states/eV/atom
! * distance to the lowest polymorph of the same formula: 157 meV/atom
! * SG: C2/m (12)